No. 1
This record from Alexandria via LeMat-Bulk describes a geometry-optimized La2Tb5Pr12 structure. The functional is PBE-GGA.

Cell lengths 11.865, 10.891, 6.317 Å; angles 99.16, 90.00, 123.01 degrees
Sites, in units of the cell vectors:
Pr: 0.448 0.404 0.213
Pr: 0.957 0.404 0.213
Pr: 0.104 0.208 0.031
Pr: 0.341 0.205 0.622
Pr: 0.896 0.792 0.969
Pr: 0.577 0.155 0.334
Pr: 0.423 0.845 0.666
Pr: 0.043 0.596 0.787
Pr: 0.863 0.205 0.622
Pr: 0.659 0.795 0.378
Pr: 0.137 0.795 0.378
Pr: 0.552 0.596 0.787
Tb: 0.678 0.355 0.876
Tb: 0.217 0.434 0.570
Tb: 0.322 0.645 0.124
Tb: 0.000 0.000 0.500
Tb: 0.783 0.566 0.430
La: 0.722 0.000 0.000
La: 0.278 0.000 0.000

The value obtained for the total moment is 0.00 μB/cell. For the uncorrected energy, the calculation gives -4.657 eV/atom. The calculation puts the theoretical density at 6.8 g/cm³. The offset from the most stable computed form comes out at 0 meV per atom. The calculation puts the energy of formation at 0.10 eV/atom.

=====

No. 2
This record from Alexandria via LeMat-Bulk describes a geometry-optimized K2MoOs structure. The functional is PBE-GGA.

Cell lengths 6.477, 6.477, 6.477 Å; angles 145.96, 145.96, 48.90 degrees
Sites, in units of the cell vectors:
K: 0.500 0.500 0.000
K: 0.000 0.000 0.000
Mo: 0.250 0.750 0.500
Os: 0.750 0.250 0.500

The value obtained for the total moment is 0.00 μB/cell. For the uncorrected energy, the calculation gives -4.700 eV/atom. The calculation puts the theoretical density at 7.1 g/cm³. The offset from the most stable computed form comes out at 555 meV per atom. The calculation puts the energy of formation at 1.36 eV/atom.